Record 1
Below is crystalline TbAl2Cu9 at its relaxed geometry, with properties calculated at the PBE level.

abc: 7.8757 7.8757 7.8757
angles: 100.10 100.10 130.49
Sites, in units of the cell vectors:
Tb 0.3750 0.6250 0.7500
Tb 0.6250 0.3750 0.2500
Al 0.0000 0.0000 0.0000
Al 0.0000 0.0000 0.5000
Al 0.0000 0.5000 0.0000
Al 0.5000 0.0000 0.5000
Cu 0.1250 0.8750 0.2500
Cu 0.1378 0.5582 0.3352
Cu 0.1378 0.8026 0.5797
Cu 0.1974 0.2771 0.3352
Cu 0.1974 0.8622 0.9203
Cu 0.2771 0.1974 0.8352
Cu 0.2771 0.4418 0.0797
Cu 0.4418 0.2771 0.5797
Cu 0.4418 0.8622 0.1648
Cu 0.5582 0.1378 0.8352
Cu 0.5582 0.7229 0.4203
Cu 0.7229 0.5582 0.9203
Cu 0.7229 0.8026 0.1648
Cu 0.8026 0.1378 0.0797
Cu 0.8026 0.7229 0.6648
Cu 0.8622 0.1974 0.4203
Cu 0.8622 0.4418 0.6648
Cu 0.8750 0.1250 0.7500

Values from the calculation:
For the energy above the most stable polymorph in this dataset, the calculation gives 0 meV/atom. The energy of formation from the pure elements comes out at -195 meV/atom. Its raw total energy is -4.277 eV per atom.

Record 2
Below is crystalline TbAl4Cu2 at its relaxed geometry, with properties calculated at the PBE level.

abc: 4.0378 14.9141 3.9759
angles: 90.00 90.00 90.00
Sites, in units of the cell vectors:
Tb 0.0000 0.0000 0.0000
Tb 0.5000 0.5000 0.0000
Al 0.0000 0.1798 0.5000
Al 0.0000 0.3177 0.0000
Al 0.0000 0.6823 0.0000
Al 0.0000 0.8202 0.5000
Al 0.5000 0.1823 0.0000
Al 0.5000 0.3202 0.5000
Al 0.5000 0.6798 0.5000
Al 0.5000 0.8177 0.0000
Cu 0.0000 0.4188 0.5000
Cu 0.0000 0.5812 0.5000
Cu 0.5000 0.0812 0.5000
Cu 0.5000 0.9188 0.5000

Values from the calculation:
For the energy above the most stable polymorph in this dataset, the calculation gives 67 meV/atom. The energy of formation from the pure elements comes out at -308 meV/atom. Its raw total energy is -4.279 eV per atom.

Record 3
Below is crystalline TbAl7Cu5 at its relaxed geometry, with properties calculated at the PBE level.

abc: 6.6872 6.6872 6.6872
angles: 135.11 97.73 99.04
Sites, in units of the cell vectors:
Tb 0.0000 0.0000 0.0000
Al 0.2164 0.5087 0.7077
Al 0.3414 0.9937 0.3478
Al 0.3452 0.3452 0.0000
Al 0.6459 0.9937 0.6522
Al 0.6500 0.6500 0.0000
Al 0.7750 0.2750 0.5000
Al 0.8009 0.5087 0.2923
Cu 0.0000 0.0048 0.4980
Cu 0.0000 0.5020 0.9952
Cu 0.2282 0.7282 0.5000
Cu 0.5068 0.0048 0.0048
Cu 0.5068 0.5020 0.5020

Values from the calculation:
The energy of formation from the pure elements comes out at -349 meV/atom. Its raw total energy is -4.296 eV per atom.

Record 4
Below is crystalline TbAl12Cu4 at its relaxed geometry, with properties calculated at the PBE level.

abc: 7.4280 7.4280 7.4280
angles: 109.47 109.47 109.47
Sites, in units of the cell vectors:
Tb 0.0000 0.0000 0.0000
Al 0.1645 0.3414 0.5058
Al 0.1645 0.6586 0.8231
Al 0.1769 0.8355 0.3414
Al 0.3414 0.1769 0.8355
Al 0.3414 0.5058 0.1645
Al 0.4942 0.8355 0.6586
Al 0.5058 0.1645 0.3414
Al 0.6586 0.4942 0.8355
Al 0.6586 0.8231 0.1645
Al 0.8231 0.1645 0.6586
Al 0.8355 0.3414 0.1769
Al 0.8355 0.6586 0.4942
Cu 0.0000 0.0000 0.5000
Cu 0.0000 0.5000 0.0000
Cu 0.5000 0.0000 0.0000
Cu 0.5000 0.5000 0.5000

Values from the calculation:
The energy of formation from the pure elements comes out at 60 meV/atom. Its raw total energy is -3.818 eV per atom.

Record 5
Below is crystalline Tb2Al2Cu15 at its relaxed geometry, with properties calculated at the PBE level.

abc: 6.5133 6.5133 6.5133
angles: 82.23 82.23 82.23
Sites, in units of the cell vectors:
Tb 0.1499 0.1499 0.1499
Tb 0.8501 0.8501 0.8501
Al 0.3962 0.3962 0.3962
Al 0.6038 0.6038 0.6038
Cu 0.0000 0.5000 0.5000
Cu 0.1518 0.1518 0.6517
Cu 0.1518 0.6517 0.1518
Cu 0.2032 0.5000 0.7968
Cu 0.2032 0.7968 0.5000
Cu 0.3483 0.8482 0.8482
Cu 0.5000 0.0000 0.5000
Cu 0.5000 0.2032 0.7968
Cu 0.5000 0.5000 0.0000
Cu 0.5000 0.7968 0.2032
Cu 0.6517 0.1518 0.1518
Cu 0.7968 0.2032 0.5000
Cu 0.7968 0.5000 0.2032
Cu 0.8482 0.3483 0.8482
Cu 0.8482 0.8482 0.3483

Values from the calculation:
The energy of formation from the pure elements comes out at -176 meV/atom. Its raw total energy is -4.291 eV per atom.

Record 6
Below is crystalline TbAlCu5 at its relaxed geometry, with properties calculated at the PBE level.

abc: 8.0857 5.0114 10.2320
angles: 90.00 90.00 90.00
Sites, in units of the cell vectors:
Tb 0.2439 0.2500 0.0581
Tb 0.2561 0.7500 0.5581
Tb 0.7439 0.2500 0.4419
Tb 0.7561 0.7500 0.9419
Al 0.1460 0.7500 0.8547
Al 0.3540 0.2500 0.3547
Al 0.6460 0.7500 0.6453
Al 0.8540 0.2500 0.1453
Cu 0.0619 0.7500 0.0895
Cu 0.0663 0.0062 0.3057
Cu 0.0663 0.4938 0.3057
Cu 0.0939 0.2500 0.5160
Cu 0.1821 0.2500 0.7534
Cu 0.3179 0.7500 0.2534
Cu 0.4061 0.7500 0.0160
Cu 0.4337 0.5062 0.8057
Cu 0.4337 0.9938 0.8057
Cu 0.4381 0.2500 0.5895
Cu 0.5619 0.7500 0.4105
Cu 0.5663 0.0062 0.1943
Cu 0.5663 0.4938 0.1943
Cu 0.5939 0.2500 0.9840
Cu 0.6821 0.2500 0.7466
Cu 0.8179 0.7500 0.2466
Cu 0.9061 0.7500 0.4840
Cu 0.9337 0.5062 0.6943
Cu 0.9337 0.9938 0.6943
Cu 0.9381 0.2500 0.9105

Values from the calculation:
The energy of formation from the pure elements comes out at -269 meV/atom. Its raw total energy is -4.391 eV per atom.

Record 7
Below is crystalline Tb3Al5Cu at its relaxed geometry, with properties calculated at the PBE level.

abc: 7.0087 7.0087 4.3604
angles: 90.00 90.00 120.00
Sites, in units of the cell vectors:
Tb 0.0000 0.4095 0.0000
Tb 0.4095 0.0000 0.0000
Tb 0.5905 0.5905 0.0000
Al 0.0000 0.7651 0.5000
Al 0.2349 0.2349 0.5000
Al 0.3333 0.6667 0.5000
Al 0.6667 0.3333 0.5000
Al 0.7651 0.0000 0.5000
Cu 0.0000 0.0000 0.0000

Values from the calculation:
The energy of formation from the pure elements comes out at -484 meV/atom. Its raw total energy is -4.562 eV per atom.

Record 8
Below is crystalline TbAl4Cu4 at its relaxed geometry, with properties calculated at the PBE level.

abc: 6.1938 6.1938 6.1938
angles: 97.17 97.17 138.61
Sites, in units of the cell vectors:
Tb 0.0000 0.0000 0.0000
Al 0.0979 0.6273 0.7252
Al 0.3727 0.0979 0.4706
Al 0.6273 0.9021 0.5294
Al 0.9021 0.3727 0.2748
Cu 0.2785 0.3781 0.6566
Cu 0.3781 0.7215 0.0996
Cu 0.6219 0.2785 0.9004
Cu 0.7215 0.6219 0.3434

Values from the calculation:
The energy of formation from the pure elements comes out at -174 meV/atom. Its raw total energy is -4.172 eV per atom.

- The highest raw total energy belongs to which entry?
  TbAl12Cu4

- Which value of energy of formation from the pure elements does entry 2 give?
  -308 meV/atom

Repeat the fourth record exactly.
Below is crystalline TbAl12Cu4 at its relaxed geometry, with properties calculated at the PBE level.

abc: 7.4280 7.4280 7.4280
angles: 109.47 109.47 109.47
Sites, in units of the cell vectors:
Tb 0.0000 0.0000 0.0000
Al 0.1645 0.3414 0.5058
Al 0.1645 0.6586 0.8231
Al 0.1769 0.8355 0.3414
Al 0.3414 0.1769 0.8355
Al 0.3414 0.5058 0.1645
Al 0.4942 0.8355 0.6586
Al 0.5058 0.1645 0.3414
Al 0.6586 0.4942 0.8355
Al 0.6586 0.8231 0.1645
Al 0.8231 0.1645 0.6586
Al 0.8355 0.3414 0.1769
Al 0.8355 0.6586 0.4942
Cu 0.0000 0.0000 0.5000
Cu 0.0000 0.5000 0.0000
Cu 0.5000 0.0000 0.0000
Cu 0.5000 0.5000 0.5000

Values from the calculation:
The energy of formation from the pure elements comes out at 60 meV/atom. Its raw total energy is -3.818 eV per atom.